A) Here is an optimized crystal structure of BS from Alexandria via LeMat-Bulk. Energies are from PBE.

POSCAR file:
```
BS
1.0
-1.9328 0.8182 -2.7798
2.4679 -2.4449 -0.2533
-3.0202 -3.1695 1.1671
B S
2 2
direct
0.3333 0.6667 0.3296
0.6667 0.3333 0.8296
0.6667 0.3333 0.2524
0.3333 0.6667 0.7524
```

Properties
Crystal system: hexagonal
Space-group type: P6_3mc
Magnetic moment: 0.0000 μB per atom
Fermi-level density of states: 0.458 states/eV per atom

B) Here is an optimized crystal structure of BS from Alexandria via LeMat-Bulk. Energies are from PBE.

POSCAR file:
```
BS
1.0
3.0658 0.0000 0.0000
0.0000 6.7089 0.0000
0.0000 0.0000 5.3239
B S
4 4
direct
0.5000 0.8680 0.2493
0.0000 0.3680 0.7493
0.5000 0.1320 0.2493
0.0000 0.6320 0.7493
0.5000 0.2326 0.8814
0.0000 0.2674 0.3814
0.0000 0.7326 0.3814
0.5000 0.7674 0.8814
```

Properties
Crystal system: orthorhombic
Space-group type: Imm2
Magnetic moment: 0.0000 μB per atom
Fermi-level density of states: 0.046 states/eV per atom

C) Here is an optimized crystal structure of BS from Alexandria via LeMat-Bulk. Energies are from PBE.

POSCAR file:
```
BS
1.0
-0.0273 2.4158 7.7781
1.3411 -2.5089 0.7839
6.4561 2.0234 -4.5687
B S
4 4
direct
0.3960 0.0000 0.4047
0.6040 0.5000 0.0953
0.6040 0.0000 0.5953
0.3960 0.5000 0.9047
0.2654 0.0000 0.7838
0.2654 0.5000 0.2838
0.7346 0.0000 0.2162
0.7346 0.5000 0.7162
```

Properties
Crystal system: monoclinic
Space-group type: C2/m
Magnetic moment: 0.0000 μB per atom

D) Here is an optimized crystal structure of BS from Alexandria via LeMat-Bulk. Energies are from PBE.

POSCAR file:
```
BS
1.0
3.0645 0.0000 -0.0001
1.5322 3.6953 -0.0001
0.0849 1.0797 6.4635
B S
2 2
direct
0.8937 0.2107 0.0345
0.1063 0.7893 0.9655
0.3207 0.3481 0.1902
0.6793 0.6519 0.8098
```

Properties
Crystal system: triclinic
Space-group type: P-1
Magnetic moment: 0.0000 μB per atom
Fermi-level density of states: 0.000 states/eV per atom

Quick one: most stable of them? D)

A) Here is an optimized crystal structure of BS4 from Alexandria via LeMat-Bulk. Energies are from PBE.

POSCAR file:
```
BS4
1.0
4.1703 0.0000 0.0000
0.0000 4.1703 0.0000
0.0000 0.0000 4.1703
S B
4 1
direct
0.5000 0.5000 0.0000
0.0000 0.5000 0.5000
0.5000 0.0000 0.5000
0.0000 0.0000 0.0000
0.5000 0.5000 0.5000
```

Properties
Crystal system: cubic
Space-group type: Pm-3m
Magnetic moment: 0.0000 μB per atom
Fermi-level density of states: 0.695 states/eV per atom

B) Here is an optimized crystal structure of BS4 from Alexandria via LeMat-Bulk. Energies are from PBE.

POSCAR file:
```
BS4
1.0
6.6409 0.0000 0.0000
0.0000 9.7063 -3.8133
0.0000 -4.0048 5.4802
S B
8 2
direct
0.4984 0.6071 0.3783
0.4986 0.9050 0.5790
0.9984 0.8929 0.6217
0.9986 0.5950 0.4210
0.0016 0.1071 0.3783
0.5016 0.3929 0.6217
0.0014 0.4050 0.5790
0.5014 0.0950 0.4210
0.5000 0.5000 0.0000
0.0000 0.0000 0.0000
```

Properties
Crystal system: monoclinic
Space-group type: P2_1/c
Magnetic moment: 0.0000 μB per atom
Fermi-level density of states: 0.355 states/eV per atom

Quick one: most stable of them? B)

A) Here is an optimized crystal structure of BSbS3 from Alexandria via LeMat-Bulk. Energies are from PBE.

POSCAR file:
```
BSbS3
1.0
-4.6521 0.7161 5.9201
5.5464 -4.7507 1.9673
0.4827 7.4392 -1.2757
S B Sb
6 2 2
direct
0.1955 0.9149 0.7806
0.0212 0.7804 0.1956
0.5848 0.2804 0.2592
0.5848 0.8256 0.8044
0.1342 0.4149 0.2194
0.0212 0.3256 0.7408
0.0776 0.5150 0.0626
0.4523 0.0150 0.9374
0.2491 0.1225 0.6267
0.4958 0.6225 0.3733
```

Properties
Crystal system: orthorhombic
Space-group type: Ima2
Magnetic moment: 0.0000 μB per atom

B) Here is an optimized crystal structure of BSbS3 from Alexandria via LeMat-Bulk. Energies are from PBE.

POSCAR file:
```
BSbS3
1.0
4.2859 0.0000 0.0000
0.0000 4.2859 0.0000
0.0000 0.0000 4.2859
S B Sb
3 1 1
direct
0.5000 0.0000 0.0000
0.0000 0.0000 0.5000
0.0000 0.5000 0.0000
0.0000 0.0000 0.0000
0.5000 0.5000 0.5000
```

Properties
Crystal system: cubic
Space-group type: Pm-3m
Magnetic moment: 0.0000 μB per atom
Fermi-level density of states: 0.494 states/eV per atom

C) Here is an optimized crystal structure of BSbS3 from Alexandria via LeMat-Bulk. Energies are from PBE.

POSCAR file:
```
BSbS3
1.0
-0.2105 3.8602 -3.1947
1.1530 -3.0744 -3.7909
-4.8763 -0.8936 -0.7584
S Sb B
3 1 1
direct
0.0000 0.0000 0.5000
0.5000 0.0000 0.0000
0.0000 0.5000 0.0000
0.0000 0.0000 0.0000
0.5000 0.5000 0.5000
```

Properties
Crystal system: cubic
Space-group type: Pm-3m
Magnetic moment: 0.0000 μB per atom
Fermi-level density of states: 0.790 states/eV per atom

Quick one: most stable of them? A)

A) Here is an optimized crystal structure of B2SbS from Alexandria via LeMat-Bulk. Energies are from PBE.

POSCAR file:
```
B2SbS
1.0
4.8998 0.0000 0.0000
0.0000 4.8998 0.0000
2.4499 2.4499 4.8967
Sb B S
2 4 2
direct
0.0000 0.0000 0.0000
0.7500 0.2500 0.5000
0.5725 0.1250 0.2500
0.8750 0.8225 0.7500
0.1775 0.6250 0.2500
0.3750 0.4275 0.7500
0.2500 0.7500 0.5000
0.5000 0.5000 0.0000
```

Properties
Crystal system: tetragonal
Space-group type: I-42d
Magnetic moment: 0.0000 μB per atom
Fermi-level density of states: 0.591 states/eV per atom

B) Here is an optimized crystal structure of B2SbS from Alexandria via LeMat-Bulk. Energies are from PBE.

POSCAR file:
```
B2SbS
1.0
0.0000 3.0284 3.0284
3.0284 0.0000 3.0284
3.0284 3.0284 0.0000
B S Sb
2 1 1
direct
0.2500 0.2500 0.2500
0.7500 0.7500 0.7500
0.0000 0.0000 0.0000
0.5000 0.5000 0.5000
```

Properties
Crystal system: cubic
Space-group type: Fm-3m
Magnetic moment: 0.0000 μB per atom
Fermi-level density of states: 0.436 states/eV per atom

Quick one: most stable of them? A)